1.
A plane-wave DFT calculation with PBE was carried out for a relaxed CsPmVBr6 crystal.

For the size of the total moment, the calculation gives 3.000 Bohr magnetons per cell. Its energy relative to the elements, uncorrected is -1.514 eV/atom. The volume comes out at 40.96 A^3/atom.

Lattice parameters (Å, degrees): 7.1767 7.1767 8.2655 90.00 90.00 120.00
Space group P312 (No. 149)
Unique sites:
Cs 0.0000 0.0000 0.0000 x1
Pm 0.6667 0.3333 0.5000 x1
V 0.3333 0.6667 0.5000 x1
Br 0.0241 0.3808 0.6924 x6



2.
A plane-wave DFT calculation with PBE was carried out for a relaxed RbAl2Re crystal.

Its formation energy is 1192 meV per atom. For the size of the total moment, the calculation gives 0.000 Bohr magnetons per cell. The volume comes out at 19.95 A^3/atom.

Lattice parameters (Å, degrees): 6.8347 6.8347 6.8347 90.00 90.00 90.00
Space group Fm-3m (No. 225)
Unique sites:
Rb 0.0000 0.0000 0.0000 x4
Al 0.2500 0.2500 0.2500 x8
Re 0.0000 0.0000 0.5000 x4



3.
A plane-wave DFT calculation with PBE was carried out for a relaxed Ac2PrPuS4 crystal.

For the size of the total moment, the calculation gives 5.784 Bohr magnetons per cell. Its energy relative to the elements, uncorrected is -1.940 eV/atom. The volume comes out at 25.74 A^3/atom.

Lattice parameters (Å, degrees): 7.2278 4.1550 7.2628 90.00 109.23 90.00
Space group P2/m (No. 10)
Unique sites:
Ac 0.0000 0.0000 0.0000 x1
Ac 0.5000 0.5000 0.0000 x1
Pr 0.0000 0.5000 0.5000 x1
Pu 0.5000 0.0000 0.5000 x1
S 0.2501 0.0000 0.7340 x2
S 0.2625 0.5000 0.2703 x2



4.
A plane-wave DFT calculation with PBE was carried out for a relaxed Na4AcSi2 crystal.

For the size of the total moment, the calculation gives 0.000 Bohr magnetons per cell. Its energy relative to the elements, uncorrected is -0.119 eV/atom. The volume comes out at 28.38 A^3/atom.

Lattice parameters (Å, degrees): 4.5155 19.3634 4.5445 90.00 90.00 90.00
Space group Cmmm (No. 65)
Unique sites:
Na 0.0000 0.1685 0.0000 x4
Na 0.0000 0.3302 0.5000 x4
Ac 0.0000 0.0000 0.5000 x2
Si 0.0000 0.4402 0.0000 x4



5.
A plane-wave DFT calculation with PBE was carried out for a relaxed Na7Pt crystal.

Its formation energy is 69 meV per atom. For the size of the total moment, the calculation gives 0.000 Bohr magnetons per cell. The volume comes out at 27.50 A^3/atom.

Lattice parameters (Å, degrees): 9.5829 9.5829 9.5829 90.00 90.00 90.00
Space group Fm-3m (No. 225)
Unique sites:
Na 0.0000 0.0000 0.0000 x4
Na 0.0000 0.2500 0.2500 x24
Pt 0.0000 0.0000 0.5000 x4



6.
A plane-wave DFT calculation with PBE was carried out for a relaxed CsMgIn2B crystal.

Its formation energy is 561 meV per atom. For the size of the total moment, the calculation gives 0.000 Bohr magnetons per cell. The volume comes out at 28.50 A^3/atom.

Lattice parameters (Å, degrees): 5.4869 5.4869 4.7330 90.00 90.00 90.00
Space group P4/mmm (No. 123)
Unique sites:
Cs 0.0000 0.0000 0.0000 x1
Mg 0.5000 0.5000 0.0000 x1
In 0.0000 0.5000 0.5000 x2
B 0.5000 0.5000 0.5000 x1